## Cu10Sn3 (meta-GGA SCAN)

Data for Cu10Sn3 at its PBEsol-relaxed geometry.

Unit cell a=7.222 b=7.222 c=7.828 alpha=90.00 beta=90.00 gamma=120.00
Positions (direct):
Cu  0.358  0.029  0.417
Cu  0.330  0.358  0.917
Cu  0.000  0.000  0.500
Cu  0.333  0.667  0.750
Cu  0.971  0.330  0.417
Cu  0.358  0.029  0.083
Cu  0.029  0.670  0.583
Cu  0.971  0.330  0.083
Cu  0.667  0.333  0.922
Cu  0.670  0.642  0.417
Cu  0.330  0.358  0.583
Cu  0.029  0.670  0.917
Cu  0.642  0.971  0.917
Cu  0.670  0.642  0.083
Cu  0.667  0.333  0.250
Cu  0.000  0.000  0.000
Cu  0.642  0.971  0.583
Cu  0.333  0.667  0.422
Cu  0.667  0.333  0.578
Cu  0.333  0.667  0.078
Sn  0.023  0.709  0.250
Sn  0.709  0.685  0.750
Sn  0.977  0.291  0.750
Sn  0.315  0.023  0.750
Sn  0.291  0.315  0.250
Sn  0.685  0.977  0.250

Properties
**Space-group type**: P6_3/m
**E_tot**: -259.34 eV/f.u.